No. 1
SmTa4N6: relaxed, PBE-GGA.

Unit cell a=5.3911 b=5.3911 c=15.7761 alpha=90.00 beta=90.00 gamma=146.02
Closest atoms and distances in Å follow each position.
Fractional positions:
Sm: 0.1528 0.8472 0.7500  8 N 2.45-2.72
Sm: 0.8472 0.1528 0.2500  8 N 2.45-2.72
Ta: 0.1030 0.8970 0.1296  5 N 2.01-2.17
Ta: 0.1030 0.8970 0.3704  5 N 2.01-2.17
Ta: 0.3539 0.6461 0.0418  6 N 2.13-2.33
Ta: 0.3539 0.6461 0.4582  6 N 2.13-2.33
Ta: 0.6461 0.3539 0.5418  6 N 2.13-2.33
Ta: 0.6461 0.3539 0.9582  6 N 2.13-2.33
Ta: 0.8970 0.1030 0.6296  5 N 2.01-2.17
Ta: 0.8970 0.1030 0.8704  5 N 2.01-2.17
N: 0.0000 0.0000 0.0000  6 Ta 2.28-2.30
N: 0.0000 0.0000 0.5000  6 Ta 2.28-2.30
N: 0.1656 0.8344 0.2500  2 Ta 2.01
N: 0.2632 0.7368 0.5933  5 Ta 2.15-2.33
N: 0.2632 0.7368 0.9067  5 Ta 2.15-2.33
N: 0.4664 0.5336 0.1552  3 Ta 2.13-2.15
N: 0.4664 0.5336 0.3448  3 Ta 2.13-2.15
N: 0.5336 0.4664 0.6552  3 Ta 2.13-2.15
N: 0.5336 0.4664 0.8448  3 Ta 2.13-2.15
N: 0.7368 0.2632 0.0933  5 Ta 2.15-2.33
N: 0.7368 0.2632 0.4067  5 Ta 2.15-2.33
N: 0.8344 0.1656 0.7500  2 Ta 2.01

Values from the calculation:
The calculation puts the final energy at -230.19 eV/cell. The energy relative to the elements, uncorrected is -1255.7 kJ/mol of formula units. As for the space-group type: Cmcm, No. 63.

No. 2
ZrGe2Se8: relaxed, PBE-GGA.

Unit cell a=7.2143 b=7.2143 c=7.2413 alpha=90.00 beta=90.00 gamma=120.00
Closest atoms and distances in Å follow each position.
Fractional positions:
Zr: 0.0000 0.0000 0.0000  6 Se 2.68
Ge: 0.3333 0.6667 0.6549  4 Se 2.37-2.42
Ge: 0.6667 0.3333 0.3451  4 Se 2.37-2.42
Se: 0.1445 0.2890 0.7271  1 Ge 2.42, 1 Zr 2.68
Se: 0.1445 0.8555 0.7271  1 Ge 2.42, 1 Zr 2.68
Se: 0.2890 0.1445 0.2729  1 Ge 2.42, 1 Zr 2.68
Se: 0.3333 0.6667 0.3281  1 Ge 2.37
Se: 0.6667 0.3333 0.6719  1 Ge 2.37
Se: 0.7110 0.8555 0.7271  1 Ge 2.42, 1 Zr 2.68
Se: 0.8555 0.1445 0.2729  1 Ge 2.42, 1 Zr 2.68
Se: 0.8555 0.7110 0.2729  1 Ge 2.42, 1 Zr 2.68

Values from the calculation:
The calculation puts the final energy at -46.03 eV/cell. The energy relative to the elements, uncorrected is -35.4 kJ/mol of formula units. As for the space-group type: P-3m1, No. 164.

No. 3
Ta2MnW: relaxed, PBE-GGA.

Unit cell a=2.8243 b=4.3515 c=5.2514 alpha=90.00 beta=99.43 gamma=90.00
Closest atoms and distances in Å follow each position.
Fractional positions:
Ta: 0.2420 0.0000 0.2559  2 Mn 2.67, 2 W 2.72, 4 Ta 2.73-2.82
Ta: 0.7580 0.0000 0.7441  2 Mn 2.67, 2 W 2.72, 4 Ta 2.73-2.82
Mn: 0.0000 0.5000 0.5000  4 Ta 2.67, 2 W 2.77, 2 Mn 2.82
W: 0.5000 0.5000 0.0000  4 Ta 2.72, 2 Mn 2.77, 2 W 2.82

Values from the calculation:
The calculation puts the final energy at -45.69 eV/cell. As for the calculated formation energy: 34 meV per atom. As for the space-group type: P2/m, No. 10.

No. 4
PrZr: relaxed, PBE-GGA.

Unit cell a=3.3678 b=5.5501 c=6.1447 alpha=90.00 beta=90.00 gamma=90.00
Closest atoms and distances in Å follow each position.
Fractional positions:
Pr: 0.2500 0.2500 0.1040  6 Zr 3.34-3.67, 6 Pr 3.37-3.49
Pr: 0.7500 0.7500 0.8960  6 Zr 3.34-3.67, 6 Pr 3.37-3.49
Zr: 0.2500 0.7500 0.4273  6 Pr 3.34-3.67, 6 Zr 3.37
Zr: 0.7500 0.2500 0.5727  6 Pr 3.34-3.67, 6 Zr 3.37

Values from the calculation:
The calculation puts the final energy at -25.84 eV/cell. As for the calculated formation energy: 204 meV per atom. As for the space-group type: Pmmn, No. 59.